PBE LiTl2Ir, relaxed; spin magnetization = 0.0 μB per formula unit; ρ = 13.22 Mg/m³; energy relative to the elements = 165 meV/atom; Fermi-level density of states = 1.66 states/eV/f.u.
1.0
-2.0284 2.0284 4.6383
2.0284 -2.0284 4.6383
2.0284 2.0284 -4.6383
Li Tl Ir
1 2 1
Direct
0.0000 0.0000 0.0000
0.2500 0.7500 0.5000
0.5000 0.5000 0.0000
0.7500 0.2500 0.5000

=====

PBE CaZnTc2, relaxed; spin magnetization = 0.0 μB per formula unit; ρ = 7.39 Mg/m³; energy relative to the elements = 443 meV/atom; Fermi-level density of states = 3.17 states/eV/f.u.
1.0
3.2925 0.0000 0.0000
0.0000 4.3936 0.0000
0.0000 0.0000 4.6825
Ca Zn Tc
1 1 2
Direct
0.0000 0.0000 0.0000
0.5000 0.5000 0.0000
0.0000 0.5000 0.5000
0.5000 0.0000 0.5000

=====

PBE AsPd3N, relaxed; ΔE to the lowest computed polymorph = 0.0 kJ per mole of atoms; spin magnetization = 0.0 μB per formula unit; ρ = 9.20 Mg/m³; Fermi-level density of states = 2.24 states/eV/f.u.; energy relative to the elements, uncorrected = 1.3 eV per formula unit
1.0
4.1920 0.0000 0.0000
0.0000 4.1920 0.0000
0.0000 0.0000 4.1920
As Pd N
1 3 1
Direct
0.0000 0.0000 0.0000
0.0000 0.5000 0.5000
0.5000 0.0000 0.5000
0.5000 0.5000 0.0000
0.5000 0.5000 0.5000

=====

PBE TiFeTe2Cl, relaxed; spin magnetization = 1.7 μB per formula unit; ρ = 5.10 Mg/m³; Fermi-level density of states = 7.17 states/eV/f.u.; energy relative to the elements, uncorrected = 4.7 eV per formula unit
1.0
5.4401 0.0000 0.0000
0.0000 5.4401 0.0000
0.0000 0.0000 4.3380
Ti Fe Te Cl
1 1 2 1
Direct
0.0000 0.0000 0.0000
0.5000 0.5000 0.0000
0.0000 0.5000 0.5000
0.5000 0.0000 0.5000
0.0000 0.0000 0.5000

=====

PBE PuHfPa, relaxed; ΔE to the lowest computed polymorph = 3.3 kJ per mole of atoms; spin magnetization = 4.9 μB per formula unit; ρ = 15.33 Mg/m³; energy relative to the elements = 101 meV/atom; Fermi-level density of states = 5.90 states/eV/f.u.
1.0
6.0862 -1.6165 0.0000
6.0862 1.6165 0.0000
-2.2846 0.0000 7.1940
Pu Hf Pa
2 2 2
Direct
0.0129 0.0129 0.2794
0.9871 0.9871 0.7206
0.3074 0.3074 0.3789
0.6926 0.6926 0.6211
0.3565 0.3565 0.9704
0.6435 0.6435 0.0296

=====

PBE Th2Ga2Hg, relaxed; spin magnetization = 0.0 μB per formula unit; ρ = 10.68 Mg/m³; energy relative to the elements = -447 meV/atom; Fermi-level density of states = 3.01 states/eV/f.u.
1.0
2.0609 -7.1106 0.0000
2.0609 7.1106 0.0000
0.0000 0.0000 4.2649
Th Ga Hg
2 2 1
Direct
0.1317 0.8683 0.0000
0.8683 0.1317 0.0000
0.3009 0.6991 0.5000
0.6991 0.3009 0.5000
0.5000 0.5000 0.5000

=====

Copy entry 6 word for word.
PBE Th2Ga2Hg, relaxed; spin magnetization = 0.0 μB per formula unit; ρ = 10.68 Mg/m³; energy relative to the elements = -447 meV/atom; Fermi-level density of states = 3.01 states/eV/f.u.
1.0
2.0609 -7.1106 0.0000
2.0609 7.1106 0.0000
0.0000 0.0000 4.2649
Th Ga Hg
2 2 1
Direct
0.1317 0.8683 0.0000
0.8683 0.1317 0.0000
0.3009 0.6991 0.5000
0.6991 0.3009 0.5000
0.5000 0.5000 0.5000